No. 1
VASP calculation (PBE) on an optimized crystal structure of Sm3Ge8Pd3.

The structure belongs to space group C2/m (No. 12); the cell edges are 16.148, 4.498 and 9.001 Å and the angles 90.00°, 121.69° and 90.00°. Symmetry generates all atoms from Sm at (0.000, 0.000, 0.000), Sm at (0.204, 0.500, 0.688), Ge at (0.016, 0.500, 0.701), Ge at (0.126, 0.000, 0.408), Ge at (0.142, 0.500, 0.282), Ge at (0.157, 0.000, 0.881), Pd at (0.000, 0.000, 0.500) and Pd at (0.159, 0.500, 0.023).

As for the calculated formation energy: -0.570 eV per atom.

No. 2
VASP calculation (PBE) on an optimized crystal structure of PrThRuBr.

The structure belongs to space group R3m (No. 160, hexagonal axes); the cell edges are 4.0973, 4.0973 and 24.1559 Å and the angles 90.00°, 90.00° and 120.00°. Symmetry generates all atoms from Pr at (0.0000, 0.0000, 0.0000), Th at (0.0000, 0.0000, 0.2059), Ru at (0.0000, 0.0000, 0.5948) and Br at (0.0000, 0.0000, 0.7672).

The value obtained for the energy relative to the elements, uncorrected is -0.85 eV per atom.

No. 3
VASP calculation (PBE) on an optimized crystal structure of Tm4GeSb2S.

The structure belongs to space group P2/m (No. 10); the cell edges are 7.180, 4.147 and 7.271 Å and the angles 90.00°, 109.18° and 90.00°. Symmetry generates all atoms from Tm at (0.242, 0.000, 0.230), Tm at (0.252, 0.500, 0.769), Ge at (0.000, 0.500, 0.000), Sb at (0.000, 0.000, 0.500), Sb at (0.500, 0.500, 0.500) and S at (0.500, 0.000, 0.000).

The value obtained for the energy relative to the elements, uncorrected is -1.21 eV per atom.

Copy entry 2 word for word.
VASP calculation (PBE) on an optimized crystal structure of PrThRuBr.

The structure belongs to space group R3m (No. 160, hexagonal axes); the cell edges are 4.0973, 4.0973 and 24.1559 Å and the angles 90.00°, 90.00° and 120.00°. Symmetry generates all atoms from Pr at (0.0000, 0.0000, 0.0000), Th at (0.0000, 0.0000, 0.2059), Ru at (0.0000, 0.0000, 0.5948) and Br at (0.0000, 0.0000, 0.7672).

The value obtained for the energy relative to the elements, uncorrected is -0.85 eV per atom.

Please write out number 1 again, unchanged.
VASP calculation (PBE) on an optimized crystal structure of Sm3Ge8Pd3.

The structure belongs to space group C2/m (No. 12); the cell edges are 16.148, 4.498 and 9.001 Å and the angles 90.00°, 121.69° and 90.00°. Symmetry generates all atoms from Sm at (0.000, 0.000, 0.000), Sm at (0.204, 0.500, 0.688), Ge at (0.016, 0.500, 0.701), Ge at (0.126, 0.000, 0.408), Ge at (0.142, 0.500, 0.282), Ge at (0.157, 0.000, 0.881), Pd at (0.000, 0.000, 0.500) and Pd at (0.159, 0.500, 0.023).

As for the calculated formation energy: -0.570 eV per atom.